MnTl2Co | PBE | relaxed

CIF file:
```
data_MnTl2Co
_chemical_formula_sum 'Mn1 Tl2 Co1'
_symmetry_space_group_name_H-M 'P 1'
_symmetry_Int_Tables_number 1
_cell_length_a 3.2392
_cell_length_b 3.2392
_cell_length_c 6.9068
_cell_angle_alpha 90.00
_cell_angle_beta 90.00
_cell_angle_gamma 90.00
loop_
_symmetry_equiv_pos_as_xyz
'x,y,z'
loop_
_atom_site_label
_atom_site_fract_x
_atom_site_fract_y
_atom_site_fract_z
Mn1 0.5000 0.5000 0.7500
Tl1 0.0000 0.0000 0.0168
Co1 0.5000 0.5000 0.2500
Tl2 0.0000 0.0000 0.4832
```

## Properties
Its formation enthalpy at 0 K is 55.4 kJ/mol of atoms. The value obtained for the total magnetization is 4.54 μB/cell. The calculation puts the raw total energy at -4.68 eV per atom. Its symmetry is P4/mmm (123).

---

MnTl2Co | PBE | relaxed

CIF file:
```
data_MnTl2Co
_chemical_formula_sum 'Mn1 Tl2 Co1'
_symmetry_space_group_name_H-M 'P 1'
_symmetry_Int_Tables_number 1
_cell_length_a 4.8553
_cell_length_b 4.8553
_cell_length_c 5.0611
_cell_angle_alpha 73.54
_cell_angle_beta 73.54
_cell_angle_gamma 43.04
loop_
_symmetry_equiv_pos_as_xyz
'x,y,z'
loop_
_atom_site_label
_atom_site_fract_x
_atom_site_fract_y
_atom_site_fract_z
Tl1 0.0098 0.0098 0.9875
Tl2 0.4902 0.4902 0.5125
Co1 0.7500 0.7500 0.7500
Mn1 0.2500 0.2500 0.2500
```

## Properties
Its formation enthalpy at 0 K is 58.0 kJ/mol of atoms. The value obtained for the total magnetization is 5.29 μB/cell. The calculation puts the raw total energy at -4.65 eV per atom. Its symmetry is C2/m (12).